Compound: ZrAl2Zn
Source: Alexandria
Functional: SCAN
Structure: PBEsol geometry

extended XYZ file:
```
4
Lattice="4.000 0.000 0.000 0.000 4.053 0.000 0.000 0.000 4.053" Properties=species:S:1:pos:R:3 pbc="T T T"
Al 0.000 0.000 2.027
Zn 2.000 2.027 2.027
Al 0.000 2.027 0.000
Zr 2.000 0.000 0.000
```

Values from the calculation:
Crystal system ... tetragonal
DFT formation energy ... -0.53 eV/atom

***

Compound: Ga2Si2Pb
Source: Alexandria
Functional: SCAN
Structure: PBEsol geometry

extended XYZ file:
```
5
Lattice="-0.308 -2.776 3.288 2.581 -2.756 -2.085 3.054 4.980 1.660" Properties=species:S:1:pos:R:3 pbc="T T T"
Si 1.941 -0.281 2.775
Ga 3.203 1.692 1.729
Ga 2.124 -2.244 1.134
Pb 0.000 0.000 0.000
Si 3.386 -0.271 0.088
```

Values from the calculation:
Crystal system ... tetragonal
Formation energy without anion corrections ... 0.3570 eV/atom

***

Compound: Zr2ScTa
Source: Alexandria
Functional: SCAN
Structure: PBEsol geometry

extended XYZ file:
```
4
Lattice="-2.804 0.943 -0.251 -0.042 -2.389 1.761 1.256 5.862 7.981" Properties=species:S:1:pos:R:3 pbc="T T T"
Ta -1.423 -0.723 0.755
Zr 0.288 1.345 1.831
Sc -0.795 2.208 4.746
Zr 0.968 4.517 6.150
```

Values from the calculation:
Crystal system ... orthorhombic
DFT formation energy ... 0.16 eV/atom

***

Compound: Na3LiZr
Source: Alexandria
Functional: SCAN
Structure: PBEsol geometry

extended XYZ file:
```
5
Lattice="6.104 0.000 0.000 0.000 6.104 0.000 0.000 0.000 6.104" Properties=species:S:1:pos:R:3 pbc="T T T"
Na 0.000 0.000 3.052
Zr 0.000 0.000 0.000
Na 0.000 3.052 0.000
Li 3.052 3.052 3.052
Na 3.052 0.000 0.000
```

Values from the calculation:
Crystal system ... cubic
DFT formation energy ... 1.11 eV/atom

***

Total moment across the listed records, respectively: 0.00; 0.00; 0.00; 4.47 μB per formula unit.